Model a:
Density functional theory data (PBE) for an optimized crystal structure of CaYTc2.

Values from the calculation:
Calculated volume: 20.95 Å³/atom

Cell: 4.912 4.912 4.912 Å, 60.00 60.00 60.00°
Fractional coordinates of all 4 atoms:
Ca (0.000, 0.000, 0.000)
Y (0.500, 0.500, 0.500)
Tc (0.250, 0.250, 0.250)
Tc (0.750, 0.750, 0.750)


Model b:
Density functional theory data (PBE) for an optimized crystal structure of CaYTc2.

Values from the calculation:
Calculated volume: 20.69 Å³/atom

Cell: 9.366 9.366 9.366 Å, 19.84 19.84 19.84°
Fractional coordinates of all 4 atoms:
Ca (0.000, 0.000, 0.000)
Y (0.500, 0.500, 0.500)
Tc (0.247, 0.247, 0.247)
Tc (0.753, 0.753, 0.753)


How do the energies compare? Relative to the most stable structure, in kJ/mol of atoms: model a 0.0; model b 7.1.


Model a:
Density functional theory data (PBE) for an optimized crystal structure of CaYTc2.

Values from the calculation:
Calculated volume: 21.03 Å³/atom

Cell: 4.869 4.869 3.549 Å, 90.00 90.00 90.00°
Fractional coordinates of all 4 atoms:
Ca (0.000, 0.000, 0.000)
Y (0.500, 0.500, 0.000)
Tc (0.000, 0.500, 0.500)
Tc (0.500, 0.000, 0.500)


Model b:
Density functional theory data (PBE) for an optimized crystal structure of CaYTc2.

Values from the calculation:
Calculated volume: 25.76 Å³/atom

Cell: 5.613 5.613 5.771 Å, 117.18 117.18 40.45°
Fractional coordinates of all 4 atoms:
Ca (0.000, 0.000, 0.000)
Y (0.500, 0.500, 0.500)
Tc (0.253, 0.253, 0.622)
Tc (0.747, 0.747, 0.378)


How do the energies compare? Relative to the most stable structure, in kJ/mol of atoms: model a 25.7; model b 0.0.


Model a:
Density functional theory data (PBE) for an optimized crystal structure of CaYTc2.

Values from the calculation:
Calculated volume: 24.01 Å³/atom

Cell: 3.802 3.802 6.643 Å, 90.00 90.00 90.00°
Fractional coordinates of all 4 atoms:
Ca (0.000, 0.000, 0.000)
Y (0.000, 0.000, 0.500)
Tc (0.500, 0.500, 0.327)
Tc (0.500, 0.500, 0.673)


Model b:
Density functional theory data (PBE) for an optimized crystal structure of CaYTc2.

Values from the calculation:
Calculated volume: 19.85 Å³/atom

Cell: 5.568 5.568 2.958 Å, 99.69 99.69 114.37°
Fractional coordinates of all 4 atoms:
Ca (0.000, 0.000, 0.000)
Y (0.500, 0.500, 0.000)
Tc (0.000, 0.500, 0.500)
Tc (0.500, 0.000, 0.500)


Model c:
Density functional theory data (PBE) for an optimized crystal structure of CaYTc2.

Values from the calculation:
Calculated volume: 23.96 Å³/atom

Cell: 3.364 4.164 7.042 Å, 90.00 103.72 90.00°
Fractional coordinates of all 4 atoms:
Ca (0.000, 0.000, 0.000)
Y (0.283, 0.500, 0.611)
Tc (0.586, 0.000, 0.392)
Tc (0.702, 0.500, 0.250)


How do the energies compare? Relative to the most stable structure, in kJ/mol of atoms: model a 16.3; model b 33.5; model c 0.0.


Model a:
Density functional theory data (PBE) for an optimized crystal structure of CaYTc2.

Values from the calculation:
Calculated volume: 20.46 Å³/atom

Cell: 5.384 5.384 5.384 Å, 133.05 133.05 68.58°
Fractional coordinates of all 4 atoms:
Ca (0.000, 0.000, 0.000)
Y (0.500, 0.500, 0.000)
Tc (0.250, 0.750, 0.500)
Tc (0.750, 0.250, 0.500)


Model b:
Density functional theory data (PBE) for an optimized crystal structure of CaYTc2.

Values from the calculation:
Calculated volume: 22.86 Å³/atom

Cell: 3.205 3.205 8.899 Å, 90.00 90.00 90.00°
Fractional coordinates of all 4 atoms:
Ca (0.000, 0.000, 0.000)
Y (0.500, 0.500, 0.619)
Tc (0.000, 0.000, 0.387)
Tc (0.500, 0.500, 0.247)


Model c:
Density functional theory data (PBE) for an optimized crystal structure of CaYTc2.

Values from the calculation:
Calculated volume: 19.88 Å³/atom

Cell: 3.536 4.668 4.817 Å, 90.00 90.00 90.00°
Fractional coordinates of all 4 atoms:
Ca (0.000, 0.000, 0.000)
Y (0.500, 0.000, 0.500)
Tc (0.000, 0.500, 0.500)
Tc (0.500, 0.500, 0.000)


Model d:
Density functional theory data (PBE) for an optimized crystal structure of CaYTc2.

Values from the calculation:
Calculated volume: 22.41 Å³/atom

Cell: 5.881 5.881 5.881 Å, 144.81 129.33 63.19°
Fractional coordinates of all 4 atoms:
Ca (0.000, 0.000, 0.000)
Y (0.281, 0.781, 0.500)
Tc (0.567, 0.567, 0.000)
Tc (0.727, 0.227, 0.500)


How do the energies compare? Relative to the most stable structure, in kJ/mol of atoms: model a 51.4; model b 0.0; model c 46.8; model d 8.3.


Model a:
Density functional theory data (PBE) for an optimized crystal structure of CaYTc2.

Values from the calculation:
Calculated volume: 21.41 Å³/atom

Cell: 3.224 3.224 8.241 Å, 90.00 90.00 90.00°
Fractional coordinates of all 4 atoms:
Ca (0.000, 0.000, 0.000)
Y (0.000, 0.000, 0.500)
Tc (0.500, 0.500, 0.261)
Tc (0.500, 0.500, 0.739)


Model b:
Density functional theory data (PBE) for an optimized crystal structure of CaYTc2.

Values from the calculation:
Calculated volume: 23.87 Å³/atom

Cell: 3.233 4.539 6.599 Å, 90.00 99.66 90.00°
Fractional coordinates of all 4 atoms:
Ca (0.000, 0.000, 0.000)
Y (0.000, 0.000, 0.500)
Tc (0.455, 0.500, 0.327)
Tc (0.545, 0.500, 0.673)


How do the energies compare? Relative to the most stable structure, in kJ/mol of atoms: model a 22.6; model b 0.0.


Model a:
Density functional theory data (PBE) for an optimized crystal structure of CaYTc.

Values from the calculation:
Calculated volume: 23.77 Å³/atom

Cell: 4.908 4.908 3.419 Å, 90.00 90.00 120.00°
Fractional coordinates of all 3 atoms:
Ca (0.000, 0.000, 0.000)
Y (0.333, 0.667, 0.500)
Tc (0.667, 0.333, 0.500)


Model b:
Density functional theory data (PBE) for an optimized crystal structure of CaYTc.

Values from the calculation:
Calculated volume: 26.22 Å³/atom

Cell: 6.826 6.826 6.826 Å, 150.14 150.14 42.74°
Fractional coordinates of all 3 atoms:
Ca (0.000, 0.000, 0.000)
Y (0.261, 0.261, 0.000)
Tc (0.647, 0.647, 0.000)


How do the energies compare? Relative to the most stable structure, in kJ/mol of atoms: model a 13.8; model b 0.0.


Model a:
Density functional theory data (PBE) for an optimized crystal structure of CaY2Tc2.

Values from the calculation:
Calculated volume: 26.16 Å³/atom

Cell: 6.775 6.775 6.775 Å, 139.34 139.34 58.86°
Fractional coordinates of all 5 atoms:
Ca (0.000, 0.000, 0.000)
Y (0.250, 0.750, 0.500)
Y (0.750, 0.250, 0.500)
Tc (0.403, 0.403, 0.000)
Tc (0.597, 0.597, 0.000)


Model b:
Density functional theory data (PBE) for an optimized crystal structure of CaY2Tc2.

Values from the calculation:
Calculated volume: 24.67 Å³/atom

Cell: 8.238 8.238 3.634 Å, 90.00 90.00 90.00°
Fractional coordinates of all 10 atoms:
Ca (0.000, 0.000, 0.000)
Ca (0.500, 0.500, 0.000)
Y (0.181, 0.319, 0.500)
Y (0.319, 0.819, 0.500)
Y (0.681, 0.181, 0.500)
Y (0.819, 0.681, 0.500)
Tc (0.099, 0.599, 0.000)
Tc (0.401, 0.099, 0.000)
Tc (0.599, 0.901, 0.000)
Tc (0.901, 0.401, 0.000)


How do the energies compare? Relative to the most stable structure, in kJ/mol of atoms: model a 24.8; model b 0.0.


Model a:
Density functional theory data (PBE) for an optimized crystal structure of CaZn2Tc.

Values from the calculation:
Calculated volume: 17.67 Å³/atom

Cell: 4.641 4.641 4.641 Å, 60.00 60.00 60.00°
Fractional coordinates of all 4 atoms:
Ca (0.000, 0.000, 0.000)
Zn (0.250, 0.250, 0.250)
Zn (0.500, 0.500, 0.500)
Tc (0.750, 0.750, 0.750)


Model b:
Density functional theory data (PBE) for an optimized crystal structure of CaZn2Tc.

Values from the calculation:
Calculated volume: 18.18 Å³/atom

Cell: 9.439 9.439 9.439 Å, 18.34 18.34 18.34°
Fractional coordinates of all 4 atoms:
Ca (0.000, 0.000, 0.000)
Zn (0.239, 0.239, 0.239)
Zn (0.494, 0.494, 0.494)
Tc (0.754, 0.754, 0.754)


How do the energies compare? Relative to the most stable structure, in kJ/mol of atoms: model a 0.7; model b 0.0.